Entry 1:
# Ba2CrIrPt PBE-GGA optimized geometry
# crystal system	tetragonal
# space group	No. 123
# N(E_F)	3.64	states/eV per cell
# energy	-4.729	eV per atom
data_Ba2CrIrPt
_chemical_formula_sum 'Ba2 Cr1 Ir1 Pt1'
_cell_length_a 6.1579
_cell_length_b 4.7793
_cell_length_c 6.1579
_cell_angle_alpha 90.00
_cell_angle_beta 90.00
_cell_angle_gamma 90.00
_symmetry_space_group_name_H-M 'P 1'
_symmetry_Int_Tables_number 1
loop_
_symmetry_equiv_pos_as_xyz
'x,y,z'
loop_
_atom_site_label
_atom_site_fract_x
_atom_site_fract_y
_atom_site_fract_z
Cr1 0.5000 0.5000 0.5000
Ir1 0.0000 0.5000 0.0000
Ba1 0.0000 0.0000 0.5000
Ba2 0.5000 0.0000 0.0000
Pt1 0.0000 0.0000 0.0000



Entry 2:
# BaCr2IrS8 PBE-GGA optimized geometry
# ΔE_f (raw)	-603	meV per atom
# crystal system	trigonal
# space group	No. 148
# N(E_F)	4.76	states/eV per cell
# energy	-5.857	eV per atom
data_BaCr2IrS8
_chemical_formula_sum 'Ba1 Cr2 Ir1 S8'
_cell_length_a 5.9433
_cell_length_b 5.9433
_cell_length_c 9.1969
_cell_angle_alpha 71.15
_cell_angle_beta 71.15
_cell_angle_gamma 60.00
_symmetry_space_group_name_H-M 'P 1'
_symmetry_Int_Tables_number 1
loop_
_symmetry_equiv_pos_as_xyz
'x,y,z'
loop_
_atom_site_label
_atom_site_fract_x
_atom_site_fract_y
_atom_site_fract_z
Ba1 0.5000 0.5000 0.5000
Cr1 0.2536 0.2536 0.2392
Cr2 0.7464 0.7464 0.7608
Ir1 0.0000 0.0000 0.0000
S1 0.1720 0.1720 0.4839
S2 0.6200 0.2724 0.1604
S3 0.8280 0.8280 0.5161
S4 0.9472 0.6200 0.1604
S5 0.0528 0.3800 0.8396
S6 0.2724 0.9472 0.1604
S7 0.7276 0.0528 0.8396
S8 0.3800 0.7276 0.8396



Entry 3:
# BaZnCrIr2 PBE-GGA optimized geometry
# crystal system	tetragonal
# space group	No. 123
# N(E_F)	5.27	states/eV per cell
# energy	-5.169	eV per atom
data_BaZnCrIr2
_chemical_formula_sum 'Ba1 Zn1 Cr1 Ir2'
_cell_length_a 4.5628
_cell_length_b 5.6707
_cell_length_c 4.5628
_cell_angle_alpha 90.00
_cell_angle_beta 90.00
_cell_angle_gamma 90.00
_symmetry_space_group_name_H-M 'P 1'
_symmetry_Int_Tables_number 1
loop_
_symmetry_equiv_pos_as_xyz
'x,y,z'
loop_
_atom_site_label
_atom_site_fract_x
_atom_site_fract_y
_atom_site_fract_z
Cr1 0.0000 0.0000 0.0000
Zn1 0.5000 0.5000 0.5000
Ir1 0.0000 0.0000 0.5000
Ir2 0.5000 0.0000 0.0000
Ba1 0.0000 0.5000 0.0000



Entry 4:
# KBaCr3 PBE-GGA optimized geometry
# crystal system	cubic
# space group	No. 221
# N(E_F)	3.36	states/eV per cell
# energy	-4.534	eV per atom
data_KBaCr3
_chemical_formula_sum 'K1 Ba1 Cr3'
_cell_length_a 6.3479
_cell_length_b 6.3479
_cell_length_c 6.3479
_cell_angle_alpha 90.00
_cell_angle_beta 90.00
_cell_angle_gamma 90.00
_symmetry_space_group_name_H-M 'P 1'
_symmetry_Int_Tables_number 1
loop_
_symmetry_equiv_pos_as_xyz
'x,y,z'
loop_
_atom_site_label
_atom_site_fract_x
_atom_site_fract_y
_atom_site_fract_z
Cr1 0.0000 0.5000 0.0000
Cr2 0.0000 0.0000 0.5000
Cr3 0.5000 0.0000 0.0000
K1 0.5000 0.5000 0.5000
Ba1 0.0000 0.0000 0.0000



| no. | total magnetic moment (Bohr magnetons per cell) |
| --- | --- |
| 1 | 0.9 |
| 2 | 1.0 |
| 3 | 0.0 |
| 4 | 15.3 |